[1]
Density functional theory data (PBE) for crystalline ZrBe3Tc at its relaxed geometry.

Cell: 4.3085 4.3085 4.3085 Å, 90.00 90.00 90.00°
Element x y z (fractional)
Zr 0.0000 0.0000 0.0000
Be 0.0000 0.0000 0.5000
Be 0.0000 0.5000 0.0000
Be 0.5000 0.0000 0.0000
Tc 0.5000 0.5000 0.5000

Computed properties:
* ΔE_f: 10.4 eV/f.u.
* SG: Pm-3m (221)
* electronic total energy: -3.94 eV/atom
* density: 4.5 g/cm³
* energy above the most stable polymorph in this dataset: 1821 meV per atom



[2]
Density functional theory data (PBE) for crystalline ReHg2 at its relaxed geometry.

Cell: 4.8317 4.8317 5.8484 Å, 90.00 90.00 120.00°
Element x y z (fractional)
Re 0.3333 0.6667 0.2500
Re 0.6667 0.3333 0.7500
Hg 0.0000 0.0000 0.0000
Hg 0.0000 0.0000 0.5000
Hg 0.3333 0.6667 0.7500
Hg 0.6667 0.3333 0.2500

Computed properties:
* ΔE_f: 3.9 eV/f.u.
* SG: P6_3/mmc (194)
* electronic total energy: -3.05 eV/atom
* density: 16.5 g/cm³
* energy above the most stable polymorph in this dataset: 744 meV per atom



[3]
Density functional theory data (PBE) for crystalline ZnCuOs2 at its relaxed geometry.

Cell: 2.8099 2.8099 6.9826 Å, 90.00 90.00 90.00°
Element x y z (fractional)
Zn 0.0000 0.0000 0.0000
Cu 0.5000 0.5000 0.2306
Os 0.0000 0.0000 0.4913
Os 0.5000 0.5000 0.7301

Computed properties:
* ΔE_f: 0.4 eV/f.u.
* SG: P4mm (99)
* electronic total energy: -6.87 eV/atom
* density: 15.3 g/cm³



[4]
Density functional theory data (PBE) for crystalline Tl3SbPb3 at its relaxed geometry.

Cell: 6.3155 6.3155 6.3155 Å, 102.75 102.75 102.75°
Element x y z (fractional)
Tl 0.1027 0.4486 0.4486
Tl 0.4486 0.1027 0.4486
Tl 0.4486 0.4486 0.1027
Sb 0.9760 0.9760 0.9760
Pb 0.4501 0.8967 0.8967
Pb 0.8967 0.4501 0.8967
Pb 0.8967 0.8967 0.4501

Computed properties:
* SG: R3m (160)
* ΔE_f (raw): 0.07 eV/atom
* electronic total energy: -3.12 eV/atom
* density: 9.8 g/cm³
* energy above the most stable polymorph in this dataset: 4 meV per atom



[5]
Density functional theory data (PBE) for crystalline KScTeO4 at its relaxed geometry.

Cell: 5.8845 5.9150 7.5149 Å, 90.00 106.86 90.00°
Element x y z (fractional)
K 0.0828 0.2500 0.1532
K 0.9172 0.7500 0.8468
Sc 0.1471 0.7500 0.4567
Sc 0.8529 0.2500 0.5433
Te 0.4294 0.2500 0.7260
Te 0.5706 0.7500 0.2740
O 0.1741 0.0155 0.6494
O 0.1741 0.4845 0.6494
O 0.1933 0.7500 0.2006
O 0.4695 0.2500 0.4834
O 0.5305 0.7500 0.5166
O 0.8067 0.2500 0.7994
O 0.8259 0.5155 0.3506
O 0.8259 0.9845 0.3506

Computed properties:
* SG: P2_1/m (11)
* ΔE_f (raw): -2.02 eV/atom
* electronic total energy: -6.36 eV/atom
* density: 3.7 g/cm³



[6]
Density functional theory data (PBE) for crystalline MgPaHgPt at its relaxed geometry.

Cell: 4.9495 4.9495 4.9495 Å, 60.00 60.00 60.00°
Element x y z (fractional)
Mg 0.0000 0.0000 0.0000
Pa 0.5000 0.5000 0.5000
Hg 0.2500 0.2500 0.2500
Pt 0.7500 0.7500 0.7500

Computed properties:
* ΔE_f: -1.7 eV/f.u.
* SG: F-43m (216)
* electronic total energy: -4.78 eV/atom
* density: 12.6 g/cm³



[7]
Density functional theory data (PBE) for crystalline ZnSe at its relaxed geometry.

Cell: 2.9441 2.9441 9.6800 Å, 90.00 90.00 104.04°
Element x y z (fractional)
Zn 0.2500 0.7500 0.8996
Zn 0.7500 0.2500 0.1004
Se 0.2500 0.7500 0.3108
Se 0.7500 0.2500 0.6892

Computed properties:
* SG: Cmme (67)
* ΔE_f (raw): 0.13 eV/atom
* electronic total energy: -2.25 eV/atom
* density: 5.9 g/cm³



[8]
Density functional theory data (PBE) for crystalline Ce3As5Pd6 at its relaxed geometry.

Cell: 4.1508 12.9072 9.9659 Å, 90.00 90.00 90.00°
Element x y z (fractional)
Ce 0.2500 0.0857 0.2440
Ce 0.2500 0.4143 0.2440
Ce 0.2500 0.7500 0.2573
Ce 0.7500 0.2500 0.7427
Ce 0.7500 0.5857 0.7560
Ce 0.7500 0.9143 0.7560
As 0.2500 0.0852 0.8490
As 0.2500 0.4148 0.8490
As 0.2500 0.6262 0.5306
As 0.2500 0.7500 0.8400
As 0.2500 0.8738 0.5306
As 0.7500 0.1262 0.4694
As 0.7500 0.2500 0.1600
As 0.7500 0.3738 0.4694
As 0.7500 0.5852 0.1510
As 0.7500 0.9148 0.1510
Pd 0.2500 0.0640 0.6015
Pd 0.2500 0.2500 0.4719
Pd 0.2500 0.2500 0.9953
Pd 0.2500 0.4360 0.6015
Pd 0.2500 0.5822 0.9974
Pd 0.2500 0.9178 0.9974
Pd 0.7500 0.0822 0.0026
Pd 0.7500 0.4178 0.0026
Pd 0.7500 0.5640 0.3985
Pd 0.7500 0.7500 0.0047
Pd 0.7500 0.7500 0.5281
Pd 0.7500 0.9360 0.3985

Computed properties:
* ΔE_f: -12.7 eV/f.u.
* SG: Pmmn (59)
* electronic total energy: -6.07 eV/atom
* density: 8.9 g/cm³



[9]
Density functional theory data (PBE) for crystalline CeSi2Ni2 at its relaxed geometry.

Cell: 7.7032 6.6273 5.5451 Å, 77.96 57.29 44.75°
Element x y z (fractional)
Ce 0.1250 0.1250 0.1250
Ce 0.8750 0.8750 0.8750
Si 0.2680 0.2680 0.4820
Si 0.4820 0.4820 0.2680
Si 0.5180 0.5180 0.7320
Si 0.7320 0.7320 0.5180
Ni 0.1732 0.5768 0.1732
Ni 0.4232 0.8268 0.4232
Ni 0.5768 0.1732 0.5768
Ni 0.8268 0.4232 0.8268

Computed properties:
* SG: Fddd (70)
* ΔE_f (raw): -0.65 eV/atom
* electronic total energy: -6.32 eV/atom
* density: 6.5 g/cm³



[10]
Density functional theory data (PBE) for crystalline NdTl2Cd2Te4 at its relaxed geometry.

Cell: 8.5507 8.5507 8.5823 Å, 106.14 106.14 30.51°
Element x y z (fractional)
Nd 0.0000 0.0000 0.0000
Tl 0.1275 0.1275 0.5494
Tl 0.8725 0.8725 0.4506
Cd 0.3343 0.3343 0.0219
Cd 0.6657 0.6657 0.9781
Te 0.2063 0.2063 0.2027
Te 0.4952 0.4952 0.2645
Te 0.5048 0.5048 0.7355
Te 0.7937 0.7937 0.7973

Computed properties:
* SG: C2/m (12)
* ΔE_f (raw): -0.59 eV/atom
* electronic total energy: -3.24 eV/atom
* density: 7.0 g/cm³



[11]
Density functional theory data (PBE) for crystalline Be2Au at its relaxed geometry.

Cell: 2.9890 2.9890 4.3860 Å, 109.73 109.73 90.01°
Element x y z (fractional)
Be 0.1761 0.1761 0.3526
Be 0.8239 0.8239 0.6474
Au 0.5000 0.5000 0.0000

Computed properties:
* ΔE_f: -0.2 eV/f.u.
* SG: C2/m (12)
* electronic total energy: -3.64 eV/atom
* density: 10.4 g/cm³



[12]
Density functional theory data (PBE) for crystalline PmCu4Ge at its relaxed geometry.

Cell: 5.1250 5.1250 5.1250 Å, 60.00 60.00 60.00°
Element x y z (fractional)
Pm 0.0000 0.0000 0.0000
Cu 0.1265 0.6245 0.6245
Cu 0.6245 0.1265 0.6245
Cu 0.6245 0.6245 0.1265
Cu 0.6245 0.6245 0.6245
Ge 0.2500 0.2500 0.2500

Computed properties:
* ΔE_f: -0.9 eV/f.u.
* SG: F-43m (216)
* electronic total energy: -4.44 eV/atom
* density: 8.2 g/cm³



[13]
Density functional theory data (PBE) for crystalline SrTlPdRh at its relaxed geometry.

Cell: 4.9156 4.9156 4.9156 Å, 60.00 60.00 60.00°
Element x y z (fractional)
Sr 0.0000 0.0000 0.0000
Tl 0.5000 0.5000 0.5000
Pd 0.2500 0.2500 0.2500
Rh 0.7500 0.7500 0.7500

Computed properties:
* ΔE_f: -0.8 eV/f.u.
* SG: F-43m (216)
* electronic total energy: -4.36 eV/atom
* density: 9.9 g/cm³



[14]
Density functional theory data (PBE) for crystalline MgMnZn2 at its relaxed geometry.

Cell: 9.6966 9.6966 9.6966 Å, 156.48 156.48 33.50°
Element x y z (fractional)
Mg 0.0000 0.0000 0.0000
Mg 0.7500 0.2500 0.5000
Mn 0.2500 0.7500 0.5000
Mn 0.5000 0.5000 0.0000
Zn 0.1499 0.6250 0.0249
Zn 0.3750 0.3999 0.5249
Zn 0.6001 0.1250 0.9751
Zn 0.8750 0.8501 0.4751

Computed properties:
* ΔE_f: 1.4 eV/f.u.
* SG: I-42d (122)
* electronic total energy: -2.98 eV/atom
* density: 4.8 g/cm³



[15]
Density functional theory data (PBE) for crystalline CaAs2Pt2 at its relaxed geometry.

Cell: 7.4593 7.4593 3.4287 Å, 90.00 90.00 90.00°
Element x y z (fractional)
Ca 0.0000 0.0000 0.0000
Ca 0.5000 0.5000 0.0000
As 0.1772 0.3228 0.5000
As 0.3228 0.8228 0.5000
As 0.6772 0.1772 0.5000
As 0.8228 0.6772 0.5000
Pt 0.1308 0.6308 0.0000
Pt 0.3692 0.1308 0.0000
Pt 0.6308 0.8692 0.0000
Pt 0.8692 0.3692 0.0000

Computed properties:
* ΔE_f: -2.0 eV/f.u.
* SG: P4/mbm (127)
* electronic total energy: -5.07 eV/atom
* density: 10.1 g/cm³



[16]
Density functional theory data (PBE) for crystalline BaZr2In at its relaxed geometry.

Cell: 6.7917 6.7917 6.7917 Å, 150.76 130.60 58.44°
Element x y z (fractional)
Ba 0.0000 0.0000 0.0000
Zr 0.2805 0.7805 0.5000
Zr 0.7195 0.2195 0.5000
In 0.5000 0.5000 0.0000

Computed properties:
* ΔE_f: 1.0 eV/f.u.
* SG: Immm (71)
* electronic total energy: -5.19 eV/atom
* density: 6.3 g/cm³



[17]
Density functional theory data (PBE) for crystalline LiTl3C at its relaxed geometry.

Cell: 5.1168 5.1168 5.1168 Å, 90.00 90.00 90.00°
Element x y z (fractional)
Li 0.0000 0.0000 0.0000
Tl 0.0000 0.0000 0.5000
Tl 0.0000 0.5000 0.0000
Tl 0.5000 0.0000 0.0000
C 0.5000 0.5000 0.5000

Computed properties:
* ΔE_f: 6.7 eV/f.u.
* SG: Pm-3m (221)
* electronic total energy: -2.31 eV/atom
* density: 7.8 g/cm³
* energy above the most stable polymorph in this dataset: 444 meV per atom



[18]
Density functional theory data (PBE) for crystalline TaV3Zn at its relaxed geometry.

Cell: 4.6159 4.6159 4.6159 Å, 90.00 90.00 90.00°
Element x y z (fractional)
Ta 0.0000 0.0000 0.0000
V 0.0000 0.0000 0.5000
V 0.0000 0.5000 0.0000
V 0.5000 0.0000 0.0000
Zn 0.5000 0.5000 0.5000

Computed properties:
* ΔE_f: 7.5 eV/f.u.
* SG: Pm-3m (221)
* electronic total energy: -6.60 eV/atom
* density: 6.7 g/cm³
* energy above the most stable polymorph in this dataset: 218 meV per atom



[19]
Density functional theory data (PBE) for crystalline K3NbMo at its relaxed geometry.

Cell: 5.8228 5.8228 5.8228 Å, 90.00 90.00 90.00°
Element x y z (fractional)
K 0.0000 0.0000 0.5000
K 0.0000 0.5000 0.0000
K 0.5000 0.0000 0.0000
Nb 0.5000 0.5000 0.5000
Mo 0.0000 0.0000 0.0000

Computed properties:
* ΔE_f: 13.9 eV/f.u.
* SG: Pm-3m (221)
* electronic total energy: -2.07 eV/atom
* density: 2.6 g/cm³
* energy above the most stable polymorph in this dataset: 0 meV per atom



[20]
Density functional theory data (PBE) for crystalline TcSbHSeF at its relaxed geometry.

Cell: 4.6957 3.2818 6.0611 Å, 90.00 102.80 90.00°
Element x y z (fractional)
Tc 0.0000 0.0000 0.0000
Sb 0.5051 0.5000 0.9310
H 0.8477 0.0000 0.2178
Se 0.2714 0.5000 0.2850
F 0.8466 0.0000 0.6646

Computed properties:
* SG: Pm (6)
* electronic total energy: -5.12 eV/atom
* density: 5.8 g/cm³
* energy above the most stable polymorph in this dataset: 40 meV per atom



[21]
Density functional theory data (PBE) for crystalline AlF3 at its relaxed geometry.

Cell: 6.0654 6.0654 6.0654 Å, 31.03 31.03 31.03°
Element x y z (fractional)
Al 0.0000 0.0000 0.0000
F 0.3691 0.3691 0.3691
F 0.5000 0.5000 0.5000
F 0.6309 0.6309 0.6309

Computed properties:
* SG: R-3m (166)
* ΔE_f (raw): -1.91 eV/atom
* electronic total energy: -4.25 eV/atom
* density: 2.7 g/cm³



[22]
Density functional theory data (PBE) for crystalline LaTe2BrN at its relaxed geometry.

Cell: 5.6361 5.6361 4.1688 Å, 90.00 90.00 90.00°
Element x y z (fractional)
La 0.0000 0.0000 0.0000
Te 0.0000 0.5000 0.5000
Te 0.5000 0.0000 0.5000
Br 0.5000 0.5000 0.5000
N 0.5000 0.5000 0.0000

Computed properties:
* SG: P4/mmm (123)
* ΔE_f (raw): 0.46 eV/atom
* electronic total energy: -3.78 eV/atom
* density: 6.1 g/cm³
* energy above the most stable polymorph in this dataset: 176 meV per atom



[23]
Density functional theory data (PBE) for crystalline BeSbI2Br at its relaxed geometry.

Cell: 5.0994 5.0994 5.4378 Å, 90.00 90.00 90.00°
Element x y z (fractional)
Be 0.0000 0.0000 0.0000
Sb 0.0000 0.0000 0.5000
I 0.0000 0.5000 0.0000
I 0.5000 0.0000 0.0000
Br 0.5000 0.5000 0.5000

Computed properties:
* SG: P4/mmm (123)
* ΔE_f (raw): 0.26 eV/atom
* electronic total energy: -2.27 eV/atom
* density: 5.5 g/cm³
* energy above the most stable polymorph in this dataset: 0 meV per atom



[24]
Density functional theory data (PBE) for crystalline Dy2Mn2AlCo5 at its relaxed geometry.

Cell: 9.4586 9.4586 3.2871 Å, 90.00 90.00 90.00°
Element x y z (fractional)
Dy 0.1778 0.3222 0.0000
Dy 0.3222 0.8222 0.0000
Dy 0.6778 0.1778 0.0000
Dy 0.8222 0.6778 0.0000
Mn 0.1226 0.6226 0.0000
Mn 0.3774 0.1226 0.0000
Mn 0.6226 0.8774 0.0000
Mn 0.8774 0.3774 0.0000
Al 0.0000 0.0000 0.0000
Al 0.5000 0.5000 0.0000
Co 0.0000 0.5000 0.5000
Co 0.0588 0.7981 0.5000
Co 0.2019 0.0588 0.5000
Co 0.2981 0.5588 0.5000
Co 0.4412 0.2981 0.5000
Co 0.5000 0.0000 0.5000
Co 0.5588 0.7019 0.5000
Co 0.7019 0.4412 0.5000
Co 0.7981 0.9412 0.5000
Co 0.9412 0.2019 0.5000

Computed properties:
* ΔE_f: -0.3 eV/f.u.
* SG: P4/mbm (127)
* electronic total energy: -6.71 eV/atom
* density: 8.5 g/cm³



[25]
Density functional theory data (PBE) for crystalline Nd3SmHo6 at its relaxed geometry.

Cell: 6.6539 6.6539 9.6874 Å, 111.19 111.19 59.31°
Element x y z (fractional)
Nd 0.0000 0.0000 0.0000
Nd 0.0697 0.0697 0.6984
Nd 0.9303 0.9303 0.3016
Sm 0.5000 0.5000 0.5000
Ho 0.0673 0.5610 0.6890
Ho 0.3625 0.3625 0.0786
Ho 0.4390 0.9327 0.3110
Ho 0.5610 0.0673 0.6890
Ho 0.6375 0.6375 0.9214
Ho 0.9327 0.4390 0.3110

Computed properties:
* ΔE_f: 2.3 eV/f.u.
* SG: C2/m (12)
* electronic total energy: -4.42 eV/atom
* density: 7.8 g/cm³
* energy above the most stable polymorph in this dataset: 77 meV per atom